# Ga2HgPd9 | the Alexandria database | PBE | optimized geometry
# Formation energy from the elements: -0.327 eV per atom
data_Ga2HgPd9
_chemical_formula_sum 'Ga2 Hg1 Pd9'
_space_group_name_H-M_alt 'P 1'
_space_group_IT_number 1
_space_group_name_Hall 'P 1'
_cell_length_a 3.986
_cell_length_b 3.986
_cell_length_c 11.799
_cell_angle_alpha 90.00
_cell_angle_beta 90.00
_cell_angle_gamma 90.00
loop_
_atom_site_label
_atom_site_fract_x
_atom_site_fract_y
_atom_site_fract_z
_atom_site_occupancy
Ga1 0.000 0.000 0.164 1
Ga2 0.000 0.000 0.836 1
Hg1 0.000 0.000 0.500 1
Pd1 0.000 0.500 0.000 1
Pd2 0.000 0.500 0.321 1
Pd3 0.000 0.500 0.679 1
Pd4 0.500 0.000 0.000 1
Pd5 0.500 0.000 0.321 1
Pd6 0.500 0.000 0.679 1
Pd7 0.500 0.500 0.160 1
Pd8 0.500 0.500 0.500 1
Pd9 0.500 0.500 0.840 1

=====

# Ga3HgPd | the Alexandria database | PBE | optimized geometry
# Formation energy from the elements: -0.115 eV per atom
data_Ga3HgPd
_chemical_formula_sum 'Ga3 Hg1 Pd1'
_space_group_name_H-M_alt 'P 1'
_space_group_IT_number 1
_space_group_name_Hall 'P 1'
_cell_length_a 4.879
_cell_length_b 4.879
_cell_length_c 4.879
_cell_angle_alpha 90.00
_cell_angle_beta 90.00
_cell_angle_gamma 90.00
loop_
_atom_site_label
_atom_site_fract_x
_atom_site_fract_y
_atom_site_fract_z
_atom_site_occupancy
Ga1 0.000 0.000 0.500 1
Ga2 0.000 0.500 0.000 1
Ga3 0.500 0.000 0.000 1
Hg1 0.500 0.500 0.500 1
Pd1 0.000 0.000 0.000 1

=====

# Ga2HgPd | the Alexandria database | PBE | optimized geometry
# Formation energy from the elements: -0.185 eV per atom
data_Ga2HgPd
_chemical_formula_sum 'Ga2 Hg1 Pd1'
_space_group_name_H-M_alt 'P 1'
_space_group_IT_number 1
_space_group_name_Hall 'P 1'
_cell_length_a 3.086
_cell_length_b 3.086
_cell_length_c 7.927
_cell_angle_alpha 90.00
_cell_angle_beta 90.00
_cell_angle_gamma 90.00
loop_
_atom_site_label
_atom_site_fract_x
_atom_site_fract_y
_atom_site_fract_z
_atom_site_occupancy
Ga1 0.000 0.000 0.204 1
Ga2 0.000 0.000 0.796 1
Hg1 0.500 0.500 0.500 1
Pd1 0.500 0.500 0.000 1

=====

# Ga2HgPd | the Alexandria database | PBE | optimized geometry
# Formation energy from the elements: -0.218 eV per atom
data_Ga2HgPd
_chemical_formula_sum 'Ga2 Hg1 Pd1'
_space_group_name_H-M_alt 'P 1'
_space_group_IT_number 1
_space_group_name_Hall 'P 1'
_cell_length_a 9.265
_cell_length_b 9.265
_cell_length_c 9.265
_cell_angle_alpha 19.53
_cell_angle_beta 19.53
_cell_angle_gamma 19.53
loop_
_atom_site_label
_atom_site_fract_x
_atom_site_fract_y
_atom_site_fract_z
_atom_site_occupancy
Ga1 0.098 0.098 0.098 1
Ga2 0.902 0.902 0.902 1
Hg1 0.000 0.000 0.000 1
Pd1 0.500 0.500 0.500 1

=====

# Ga2HgPd7 | the Alexandria database | PBE | optimized geometry
# Formation energy from the elements: -0.363 eV per atom
data_Ga2HgPd7
_chemical_formula_sum 'Ga2 Hg1 Pd7'
_space_group_name_H-M_alt 'P 1'
_space_group_IT_number 1
_space_group_name_Hall 'P 1'
_cell_length_a 10.273
_cell_length_b 10.273
_cell_length_c 10.273
_cell_angle_alpha 156.83
_cell_angle_beta 156.83
_cell_angle_gamma 33.00
loop_
_atom_site_label
_atom_site_fract_x
_atom_site_fract_y
_atom_site_fract_z
_atom_site_occupancy
Ga1 0.175 0.175 0.000 1
Ga2 0.825 0.825 0.000 1
Hg1 0.500 0.500 0.000 1
Pd1 0.000 0.000 0.000 1
Pd2 0.102 0.602 0.500 1
Pd3 0.250 0.750 0.500 1
Pd4 0.398 0.898 0.500 1
Pd5 0.602 0.102 0.500 1
Pd6 0.750 0.250 0.500 1
Pd7 0.898 0.398 0.500 1

=====

# Ga2HgPd8 | the Alexandria database | PBE | optimized geometry
# Formation energy from the elements: -0.383 eV per atom
data_Ga2HgPd8
_chemical_formula_sum 'Ga2 Hg1 Pd8'
_space_group_name_H-M_alt 'P 1'
_space_group_IT_number 1
_space_group_name_Hall 'P 1'
_cell_length_a 7.292
_cell_length_b 7.292
_cell_length_c 6.450
_cell_angle_alpha 109.25
_cell_angle_beta 109.25
_cell_angle_gamma 32.49
loop_
_atom_site_label
_atom_site_fract_x
_atom_site_fract_y
_atom_site_fract_z
_atom_site_occupancy
Ga1 0.216 0.216 0.164 1
Ga2 0.784 0.784 0.836 1
Hg1 0.500 0.500 0.500 1
Pd1 0.041 0.041 0.226 1
Pd2 0.158 0.158 0.731 1
Pd3 0.320 0.320 0.572 1
Pd4 0.396 0.396 0.025 1
Pd5 0.604 0.604 0.975 1
Pd6 0.680 0.680 0.428 1
Pd7 0.842 0.842 0.269 1
Pd8 0.959 0.959 0.774 1

=====

# GaHg2Pd2 | the Alexandria database | PBE | optimized geometry
# Formation energy from the elements: -0.234 eV per atom
data_GaHg2Pd2
_chemical_formula_sum 'Ga2 Hg4 Pd4'
_space_group_name_H-M_alt 'P 1'
_space_group_IT_number 1
_space_group_name_Hall 'P 1'
_cell_length_a 6.662
_cell_length_b 6.662
_cell_length_c 4.264
_cell_angle_alpha 90.00
_cell_angle_beta 90.00
_cell_angle_gamma 90.00
loop_
_atom_site_label
_atom_site_fract_x
_atom_site_fract_y
_atom_site_fract_z
_atom_site_occupancy
Ga1 0.000 0.000 0.000 1
Ga2 0.500 0.500 0.000 1
Hg1 0.157 0.343 0.500 1
Hg2 0.343 0.843 0.500 1
Hg3 0.657 0.157 0.500 1
Hg4 0.843 0.657 0.500 1
Pd1 0.152 0.652 0.000 1
Pd2 0.348 0.152 0.000 1
Pd3 0.652 0.848 0.000 1
Pd4 0.848 0.348 0.000 1

=====

# GaHg2Pd5 | the Alexandria database | PBE | optimized geometry
# Formation energy from the elements: -0.300 eV per atom
data_GaHg2Pd5
_chemical_formula_sum 'Ga1 Hg2 Pd5'
_space_group_name_H-M_alt 'P 1'
_space_group_IT_number 1
_space_group_name_Hall 'P 1'
_cell_length_a 7.914
_cell_length_b 7.914
_cell_length_c 7.914
_cell_angle_alpha 148.79
_cell_angle_beta 148.79
_cell_angle_gamma 44.72
loop_
_atom_site_label
_atom_site_fract_x
_atom_site_fract_y
_atom_site_fract_z
_atom_site_occupancy
Ga1 0.000 0.000 0.000 1
Hg1 0.253 0.253 0.000 1
Hg2 0.747 0.747 0.000 1
Pd1 0.115 0.615 0.500 1
Pd2 0.385 0.885 0.500 1
Pd3 0.500 0.500 0.000 1
Pd4 0.615 0.115 0.500 1
Pd5 0.885 0.385 0.500 1